An optimized crystal structure of AcPr2PbN. Source: Alexandria via LeMat-Bulk, functional PBE-GGA.

Summary:
Total DFT energy (no corrections) in eV/atom: -5.93
Magnetic moment in μB/cell: 0.00

a b c (Å): 5.137 5.137 5.280
angles (deg): 90.00 90.00 90.00
Space group P4/mmm (No. 123)
Asymmetric unit:
Ac 0.000 0.000 0.000 (multiplicity 1)
Pr 0.000 0.500 0.500 (multiplicity 2)
Pb 0.500 0.500 0.000 (multiplicity 1)
N 0.000 0.000 0.500 (multiplicity 1)

=====

An optimized crystal structure of Ac2Pr4Pb3N2. Source: Alexandria via LeMat-Bulk, functional PBE-GGA.

Summary:
Total DFT energy (no corrections) in eV/atom: -5.83
Magnetic moment in μB/cell: 0.00

a b c (Å): 5.020 5.020 27.008
angles (deg): 90.00 90.00 90.00
Space group I4/mmm (No. 139)
Asymmetric unit:
Ac 0.000 0.000 0.192 (multiplicity 4)
Pr 0.000 0.500 0.082 (multiplicity 8)
Pb 0.000 0.000 0.327 (multiplicity 4)
Pb 0.000 0.000 0.500 (multiplicity 2)
N 0.000 0.000 0.101 (multiplicity 4)

=====

An optimized crystal structure of Ac3PrPb2N. Source: Alexandria via LeMat-Bulk, functional PBE-GGA.

Summary:
Total DFT energy (no corrections) in eV/atom: -5.41
Magnetic moment in μB/cell: 0.00

a b c (Å): 5.120 5.191 17.621
angles (deg): 90.00 90.00 90.00
Space group Immm (No. 71)
Asymmetric unit:
Ac 0.000 0.000 0.000 (multiplicity 2)
Ac 0.000 0.500 0.164 (multiplicity 4)
Pr 0.000 0.000 0.500 (multiplicity 2)
Pb 0.000 0.500 0.361 (multiplicity 4)
N 0.000 0.500 0.000 (multiplicity 2)

=====

An optimized crystal structure of Ac4PtPbN. Source: Alexandria via LeMat-Bulk, functional PBE-GGA.

Summary:
Total DFT energy (no corrections) in eV/atom: -5.75
Magnetic moment in μB/cell: 0.00

a b c (Å): 7.265 7.465 9.324
angles (deg): 90.00 107.87 90.00
Space group P2_1/m (No. 11)
Asymmetric unit:
Ac 0.003 0.006 0.223 (multiplicity 4)
Ac 0.421 0.750 0.644 (multiplicity 2)
Ac 0.438 0.750 0.072 (multiplicity 2)
Pt 0.227 0.250 0.052 (multiplicity 2)
Pb 0.234 0.250 0.561 (multiplicity 2)
N 0.227 0.750 0.814 (multiplicity 2)

=====

An optimized crystal structure of Ac5PtPb2N. Source: Alexandria via LeMat-Bulk, functional PBE-GGA.

Summary:
Total DFT energy (no corrections) in eV/atom: -5.49
Magnetic moment in μB/cell: 0.00

a b c (Å): 4.693 19.626 13.698
angles (deg): 90.00 90.00 90.00
Space group Cmc2_1 (No. 36)
Asymmetric unit:
Ac 0.000 0.009 0.000 (multiplicity 4)
Ac 0.000 0.160 0.238 (multiplicity 4)
Ac 0.000 0.169 0.615 (multiplicity 4)
Ac 0.000 0.214 0.908 (multiplicity 4)
Ac 0.000 0.470 0.229 (multiplicity 4)
Pt 0.000 0.310 0.266 (multiplicity 4)
Pb 0.000 0.368 0.558 (multiplicity 4)
Pb 0.000 0.391 0.916 (multiplicity 4)
N 0.000 0.044 0.656 (multiplicity 4)

=====

An optimized crystal structure of Ac4RhPbN. Source: Alexandria via LeMat-Bulk, functional PBE-GGA.

Summary:
Total DFT energy (no corrections) in eV/atom: -5.81
Magnetic moment in μB/cell: 0.00

a b c (Å): 7.143 7.402 9.436
angles (deg): 90.00 108.61 90.00
Space group P2_1/m (No. 11)
Asymmetric unit:
Ac 0.012 0.005 0.222 (multiplicity 4)
Ac 0.421 0.750 0.649 (multiplicity 2)
Ac 0.443 0.750 0.067 (multiplicity 2)
Rh 0.234 0.250 0.055 (multiplicity 2)
Pb 0.245 0.250 0.564 (multiplicity 2)
N 0.217 0.750 0.811 (multiplicity 2)